Entry from Alexandria via LeMat-Bulk: CeThTl2 after structural relaxation (PBE).

Values from the calculation:
**ρ**: 11.2 Mg/m³
**Density of states at the Fermi level**: 2.3149 states/eV per atom
**Energy of formation**: -0.19 eV/atom
**E_tot**: -4.72 eV per atom

a b c (Å): 3.531 3.531 9.273
angles (deg): 90.00 90.00 90.00
Each line ends with the local moment (μB).
Element x y z (fractional)
Ce1 0.500 0.500 0.500  0.93
Th1 0.500 0.500 0.000  -0.05
Tl1 0.000 0.000 0.747  -0.01
Tl2 0.000 0.000 0.253  -0.01